Entry 1:
Y3VW: optimized geometry, PBE-GGA.

Unit cell a=5.149 b=5.149 c=5.149 alpha=90.00 beta=90.00 gamma=90.00
Atoms (fractional coordinates):
Y 0.000 0.000 0.500
Y 0.000 0.500 0.000
Y 0.500 0.000 0.000
V 0.000 0.000 0.000
W 0.500 0.500 0.500

Properties
**Density of states at the Fermi level**: 5.29 states/eV/f.u.
**Energy above the lowest structure with this stoichiometry**: 287.9 meV per atom

Entry 2:
YV2ZnW: optimized geometry, PBE-GGA.

Unit cell a=4.625 b=4.625 c=5.009 alpha=90.00 beta=90.00 gamma=90.00
Atoms (fractional coordinates):
Y 0.000 0.000 0.000
V 0.000 0.500 0.500
V 0.500 0.000 0.500
Zn 0.500 0.500 0.000
W 0.500 0.500 0.500

Properties
**Density of states at the Fermi level**: 6.12 states/eV/f.u.
**Total DFT energy (no corrections)**: -6.993 eV per atom

Entry 3:
VZn2W: optimized geometry, PBE-GGA.

Unit cell a=9.962 b=9.962 c=9.962 alpha=15.75 beta=15.75 gamma=15.75
Atoms (fractional coordinates):
V 0.000 0.000 0.000
Zn 0.088 0.088 0.088
Zn 0.912 0.912 0.912
W 0.500 0.500 0.500

Properties
**Density of states at the Fermi level**: 5.12 states/eV/f.u.
**Energy above the lowest structure with this stoichiometry**: 122.9 meV per atom

Entry 4:
VZn2W: optimized geometry, PBE-GGA.

Unit cell a=9.911 b=9.911 c=9.911 alpha=158.90 beta=158.90 gamma=30.01
Atoms (fractional coordinates):
V 0.000 0.000 0.000
V 0.750 0.250 0.500
Zn 0.124 0.625 0.999
Zn 0.375 0.374 0.499
Zn 0.626 0.125 0.001
Zn 0.875 0.876 0.501
W 0.250 0.750 0.500
W 0.500 0.500 0.000

Properties
**Density of states at the Fermi level**: 3.89 states/eV/f.u.
**Energy above the lowest structure with this stoichiometry**: 193.0 meV per atom

Entry 5:
VZn2W: optimized geometry, PBE-GGA.

Unit cell a=4.341 b=4.341 c=4.341 alpha=60.00 beta=60.00 gamma=60.00
Atoms (fractional coordinates):
V 0.000 0.000 0.000
Zn 0.250 0.250 0.250
Zn 0.750 0.750 0.750
W 0.500 0.500 0.500

Properties
**Density of states at the Fermi level**: 2.53 states/eV/f.u.
**Energy above the lowest structure with this stoichiometry**: 0.0 meV per atom

Entry 6:
ZrV3W: optimized geometry, PBE-GGA.

Unit cell a=4.594 b=4.594 c=4.594 alpha=90.00 beta=90.00 gamma=90.00
Atoms (fractional coordinates):
Zr 0.000 0.000 0.000
V 0.000 0.500 0.500
V 0.500 0.000 0.500
V 0.500 0.500 0.000
W 0.500 0.500 0.500

Properties
**Density of states at the Fermi level**: 5.43 states/eV/f.u.
**Energy above the lowest structure with this stoichiometry**: 0.0 meV per atom

Entry 7:
ZrVW3: optimized geometry, PBE-GGA.

Unit cell a=4.579 b=4.579 c=4.579 alpha=90.00 beta=90.00 gamma=90.00
Atoms (fractional coordinates):
Zr 0.000 0.000 0.000
V 0.500 0.500 0.500
W 0.000 0.500 0.500
W 0.500 0.000 0.500
W 0.500 0.500 0.000

Properties
**Density of states at the Fermi level**: 6.32 states/eV/f.u.
**Energy above the lowest structure with this stoichiometry**: 0.0 meV per atom

Entry 8:
ZrVW2: optimized geometry, PBE-GGA.

Unit cell a=4.552 b=4.552 c=4.552 alpha=60.00 beta=60.00 gamma=60.00
Atoms (fractional coordinates):
Zr 0.000 0.000 0.000
V 0.500 0.500 0.500
W 0.250 0.250 0.250
W 0.750 0.750 0.750

Properties
**Density of states at the Fermi level**: 3.98 states/eV/f.u.
**Energy above the lowest structure with this stoichiometry**: 0.0 meV per atom

Entry 9:
ZrV8W3: optimized geometry, PBE-GGA.

Unit cell a=5.036 b=5.036 c=8.109 alpha=90.00 beta=90.00 gamma=120.00
Atoms (fractional coordinates):
Zr 0.000 0.000 0.000
V 0.164 0.329 0.682
V 0.164 0.836 0.682
V 0.333 0.667 0.440
V 0.333 0.667 0.938
V 0.503 0.006 0.195
V 0.503 0.497 0.195
V 0.671 0.836 0.682
V 0.994 0.497 0.195
W 0.000 0.000 0.383
W 0.667 0.333 0.500
W 0.667 0.333 0.872

Properties
**Density of states at the Fermi level**: 7.33 states/eV/f.u.
**Total DFT energy (no corrections)**: -10.051 eV per atom

Entry 10:
ZrV2W: optimized geometry, PBE-GGA.

Unit cell a=4.510 b=4.510 c=3.174 alpha=90.00 beta=90.00 gamma=90.00
Atoms (fractional coordinates):
Zr 0.000 0.000 0.000
V 0.000 0.500 0.500
V 0.500 0.000 0.500
W 0.500 0.500 0.000

Properties
**Density of states at the Fermi level**: 7.03 states/eV/f.u.
**Energy above the lowest structure with this stoichiometry**: 78.2 meV per atom

Entry 11:
ZrVW2: optimized geometry, PBE-GGA.

Unit cell a=10.557 b=10.557 c=10.557 alpha=159.41 beta=159.41 gamma=29.28
Atoms (fractional coordinates):
Zr 0.000 0.000 0.000
Zr 0.750 0.250 0.500
V 0.250 0.750 0.500
V 0.500 0.500 0.000
W 0.132 0.625 0.007
W 0.375 0.382 0.507
W 0.618 0.125 0.993
W 0.875 0.868 0.493

Properties
**Density of states at the Fermi level**: 3.86 states/eV/f.u.
**Energy above the lowest structure with this stoichiometry**: 631.6 meV per atom

Entry 12:
ZrV2W: optimized geometry, PBE-GGA.

Unit cell a=4.504 b=4.504 c=4.504 alpha=60.00 beta=60.00 gamma=60.00
Atoms (fractional coordinates):
Zr 0.000 0.000 0.000
V 0.250 0.250 0.250
V 0.750 0.750 0.750
W 0.500 0.500 0.500

Properties
**Density of states at the Fermi level**: 7.20 states/eV/f.u.
**Energy above the lowest structure with this stoichiometry**: 43.3 meV per atom

Entry 13:
ZrV6W2: optimized geometry, PBE-GGA.

Unit cell a=7.791 b=7.791 c=2.629 alpha=93.32 beta=93.32 gamma=59.84
Atoms (fractional coordinates):
Zr 0.000 0.000 0.000
V 0.002 0.649 0.662
V 0.342 0.658 0.500
V 0.351 0.998 0.338
V 0.649 0.002 0.662
V 0.658 0.342 0.500
V 0.998 0.351 0.338
W 0.333 0.333 0.010
W 0.667 0.667 0.990

Properties
**Density of states at the Fermi level**: 11.59 states/eV/f.u.
**Total DFT energy (no corrections)**: -9.721 eV per atom

Entry 14:
ZrVW: optimized geometry, PBE-GGA.

Unit cell a=5.307 b=5.307 c=5.307 alpha=120.05 beta=119.63 gamma=90.28
Atoms (fractional coordinates):
Zr 0.375 0.125 0.250
Zr 0.625 0.875 0.750
V 0.000 0.500 0.500
V 0.500 0.500 0.000
W 0.000 0.000 0.500
W 0.000 0.500 0.000

Properties
**Density of states at the Fermi level**: 3.87 states/eV/f.u.
**Energy above the lowest structure with this stoichiometry**: 0.0 meV per atom

Entry 15:
ZrVW: optimized geometry, PBE-GGA.

Unit cell a=5.537 b=5.537 c=5.537 alpha=146.32 beta=146.32 gamma=48.38
Atoms (fractional coordinates):
Zr 0.000 0.000 0.000
V 0.686 0.686 0.000
W 0.315 0.315 0.000

Properties
**Density of states at the Fermi level**: 3.34 states/eV/f.u.
**Energy above the lowest structure with this stoichiometry**: 170.3 meV per atom

Entry 16:
ZrV2W: optimized geometry, PBE-GGA.

Unit cell a=3.139 b=3.139 c=6.659 alpha=90.00 beta=90.00 gamma=90.00
Atoms (fractional coordinates):
Zr 0.000 0.000 0.000
V 0.500 0.500 0.280
V 0.500 0.500 0.720
W 0.000 0.000 0.500

Properties
**Density of states at the Fermi level**: 6.51 states/eV/f.u.
**Energy above the lowest structure with this stoichiometry**: 0.0 meV per atom

Entry 17:
ZrV4W: optimized geometry, PBE-GGA.

Unit cell a=5.073 b=5.073 c=5.073 alpha=60.00 beta=60.00 gamma=60.00
Atoms (fractional coordinates):
Zr 0.000 0.000 0.000
V 0.125 0.625 0.625
V 0.625 0.125 0.625
V 0.625 0.625 0.125
V 0.625 0.625 0.625
W 0.250 0.250 0.250

Properties
**Density of states at the Fermi level**: 11.58 states/eV/f.u.
**Total DFT energy (no corrections)**: -9.661 eV per atom

Entry 18:
ZrV2W: optimized geometry, PBE-GGA.

Unit cell a=5.730 b=5.730 c=5.730 alpha=103.67 beta=103.67 gamma=121.83
Atoms (fractional coordinates):
Zr 0.000 0.000 0.000
Zr 0.750 0.250 0.500
V 0.151 0.125 0.526
V 0.375 0.849 0.974
V 0.599 0.625 0.474
V 0.875 0.401 0.026
W 0.250 0.750 0.500
W 0.500 0.500 0.000

Properties
**Density of states at the Fermi level**: 5.24 states/eV/f.u.
**Energy above the lowest structure with this stoichiometry**: 572.7 meV per atom

Entry 19:
ZrVW3: optimized geometry, PBE-GGA.

Unit cell a=4.793 b=4.793 c=4.793 alpha=90.00 beta=90.00 gamma=90.00
Atoms (fractional coordinates):
Zr 0.000 0.000 0.000
V 0.500 0.500 0.500
W 0.000 0.000 0.500
W 0.000 0.500 0.000
W 0.500 0.000 0.000

Properties
**Density of states at the Fermi level**: 5.75 states/eV/f.u.
**Energy above the lowest structure with this stoichiometry**: 1404.4 meV per atom

Entry 20:
YV: optimized geometry, PBE-GGA.

Unit cell a=8.385 b=8.385 c=8.385 alpha=90.00 beta=90.00 gamma=90.00
Atoms (fractional coordinates):
Y 0.000 0.250 0.500
Y 0.000 0.750 0.500
Y 0.250 0.500 0.000
Y 0.500 0.000 0.250
Y 0.500 0.000 0.750
Y 0.750 0.500 0.000
V 0.000 0.500 0.250
V 0.000 0.500 0.750
V 0.250 0.000 0.500
V 0.500 0.250 0.000
V 0.500 0.750 0.000
V 0.750 0.000 0.500

Properties
**Density of states at the Fermi level**: 3.36 states/eV/f.u.
**Energy above the lowest structure with this stoichiometry**: 1918.7 meV per atom